[1]
VASP calculation (PBE) on crystalline Ni2RhBr at its relaxed geometry.

Summary:
As for the crystal system: orthorhombic. Its density of states at the Fermi level is 6.307 states/eV/f.u. The value obtained for the energy above the most stable polymorph in this dataset is 0 meV per atom. As for the total magnetization: 0.00 μB/cell. The calculation puts the uncorrected formation energy at 0.35 eV/atom.

Lattice parameters (Å, degrees): 2.977 3.302 6.524 90.05 90.00 90.00
Fractional positions:
1 Br 0.500 0.750 0.750
2 Ni 0.000 0.750 0.059
3 Ni 0.000 0.750 0.441
4 Rh 0.500 0.250 0.250



[2]
VASP calculation (PBE) on crystalline NiRhBr2 at its relaxed geometry.

Summary:
As for the crystal system: orthorhombic. Its density of states at the Fermi level is 3.269 states/eV/f.u. The value obtained for the energy above the most stable polymorph in this dataset is 310 meV per atom. As for the total magnetization: 1.06 μB/cell. The calculation puts the uncorrected formation energy at 0.28 eV/atom.

Lattice parameters (Å, degrees): 8.043 8.043 8.043 155.84 154.78 35.21
Site moments in Bohr magnetons follow the coordinates.
Fractional positions:
1 Br 0.995 0.995 0.000  0.13
2 Br 0.755 0.255 0.500  -0.01
3 Ni 0.439 0.439 0.000  0.83
4 Rh 0.310 0.810 0.500  0.08



[3]
VASP calculation (PBE) on crystalline NiRhBr2 at its relaxed geometry.

Summary:
As for the crystal system: monoclinic. Its density of states at the Fermi level is 3.692 states/eV/f.u. The value obtained for the energy above the most stable polymorph in this dataset is 356 meV per atom. As for the total magnetization: 0.00 μB/cell. The calculation puts the uncorrected formation energy at 0.33 eV/atom.

Lattice parameters (Å, degrees): 5.748 5.748 3.531 94.75 94.75 41.71
Fractional positions:
1 Br 0.980 0.980 0.846
2 Br 0.266 0.266 0.294
3 Ni 0.513 0.513 0.580
4 Rh 0.741 0.741 0.781



[4]
VASP calculation (PBE) on crystalline NiRhBr2 at its relaxed geometry.

Summary:
As for the crystal system: orthorhombic. Its density of states at the Fermi level is 7.325 states/eV/f.u. The value obtained for the energy above the most stable polymorph in this dataset is 513 meV per atom. As for the total magnetization: 1.26 μB/cell. The calculation puts the uncorrected formation energy at 0.48 eV/atom.

Lattice parameters (Å, degrees): 5.200 5.200 5.200 141.61 102.97 89.52
Site moments in Bohr magnetons follow the coordinates.
Fractional positions:
1 Br 0.988 0.988 0.000  0.05
2 Br 0.512 0.512 0.000  0.05
3 Ni 0.750 0.250 0.500  0.66
4 Rh 0.250 0.750 0.500  0.45



[5]
VASP calculation (PBE) on crystalline Ni2RhBr at its relaxed geometry.

Summary:
As for the crystal system: orthorhombic. Its density of states at the Fermi level is 6.111 states/eV/f.u. The value obtained for the energy above the most stable polymorph in this dataset is 121 meV per atom. As for the total magnetization: 2.73 μB/cell. The calculation puts the uncorrected formation energy at 0.47 eV/atom.

Lattice parameters (Å, degrees): 3.212 3.269 5.775 90.00 90.00 90.00
Site moments in Bohr magnetons follow the coordinates.
Fractional positions:
1 Br 0.500 0.500 0.750  0.10
2 Ni 0.000 0.000 0.040  0.88
3 Ni 0.000 0.000 0.460  0.88
4 Rh 0.500 0.500 0.250  0.92



[6]
VASP calculation (PBE) on crystalline NiRhBr2 at its relaxed geometry.

Summary:
As for the crystal system: tetragonal. Its density of states at the Fermi level is 5.256 states/eV/f.u. The value obtained for the energy above the most stable polymorph in this dataset is 369 meV per atom. As for the total magnetization: 4.05 μB/cell. The calculation puts the uncorrected formation energy at 0.34 eV/atom.

Lattice parameters (Å, degrees): 5.733 5.733 6.846 65.25 65.25 90.00
Site moments in Bohr magnetons follow the coordinates.
Fractional positions:
1 Ni 0.500 0.500 0.000  0.59
2 Ni 0.250 0.750 0.500  0.59
3 Rh 0.000 0.000 0.000  1.05
4 Rh 0.750 0.250 0.500  1.05
5 Br 0.601 0.125 0.250  0.12
6 Br 0.149 0.625 0.250  0.11
7 Br 0.375 0.399 0.750  0.12
8 Br 0.875 0.851 0.750  0.11